# 1
AcCeMg: relaxed, PBE.

- D(E_F) (states/eV per cell) = 6.14
- energy relative to the elements (meV per atom) = 164

a b c (Å): 3.6849 3.6849 8.6720
angles (deg): 90.00 90.00 120.00
Space group P3m1 (No. 156)
Unique sites:
Ac: 0.0000 0.0000 0.0000
Ce: 0.6667 0.3333 0.3519
Mg: 0.3333 0.6667 0.6622


# 2
ThTeN: relaxed, PBE.

- D(E_F) (states/eV per cell) = 1.57
- E_form (uncorrected) (eV per atom) = -0.92

a b c (Å): 3.352 3.352 12.764
angles (deg): 90.00 90.00 90.00
Space group I4mm (No. 107)
Unique sites:
Th: 0.000 0.000 0.000
Te: 0.000 0.000 0.268
N: 0.000 0.000 0.536


# 3
AcDy2HoSe6: relaxed, PBE.

- D(E_F) (states/eV per cell) = 0.00
- E_form (uncorrected) (eV per atom) = -1.88

a b c (Å): 7.3746 7.3746 19.5348
angles (deg): 90.00 90.00 120.00
Space group R3 (No. 146, hexagonal axes)
Unique sites:
Ac: 0.0000 0.0000 0.0000
Dy: 0.0000 0.0000 0.2868
Dy: 0.0000 0.0000 0.7945
Ho: 0.0000 0.0000 0.4862
Se: 0.0034 0.3120 0.8860
Se: 0.0229 0.6224 0.0533


# 4
Cd4Tc: relaxed, PBE.

- D(E_F) (states/eV per cell) = 3.44
- energy relative to the elements (meV per atom) = 802

a b c (Å): 5.330 5.330 5.330
angles (deg): 90.00 90.00 90.00
Space group Pm-3m (No. 221)
Unique sites:
Cd: 0.000 0.000 0.000
Cd: 0.000 0.500 0.500
Tc: 0.500 0.500 0.500


# 5
Sb2TeOsAu: relaxed, PBE.

- D(E_F) (states/eV per cell) = 3.12
- E_form (uncorrected) (eV per atom) = 0.74

a b c (Å): 5.021 5.021 5.551
angles (deg): 90.00 90.00 90.00
Space group P4/mmm (No. 123)
Unique sites:
Sb: 0.000 0.500 0.000
Te: 0.000 0.000 0.500
Os: 0.000 0.000 0.000
Au: 0.500 0.500 0.500


# 6
AgSn3N: relaxed, PBE.

- D(E_F) (states/eV per cell) = 4.09
- E_form (uncorrected) (eV per atom) = 1.48

a b c (Å): 5.257 5.257 5.257
angles (deg): 90.00 90.00 90.00
Space group Pm-3m (No. 221)
Unique sites:
Ag: 0.000 0.000 0.000
Sn: 0.000 0.000 0.500
N: 0.500 0.500 0.500


# 7
PmNdZnRu: relaxed, PBE.

- D(E_F) (states/eV per cell) = 8.90
- energy relative to the elements (meV per atom) = -248

a b c (Å): 4.362 4.089 10.826
angles (deg): 90.00 90.00 90.00
Space group Amm2 (No. 38)
Unique sites:
Pm: 0.000 0.000 0.000
Nd: 0.500 0.000 0.721
Zn: 0.000 0.000 0.294
Ru: 0.500 0.000 0.433


# 8
Tb2Pm3Nd6: relaxed, PBE.

- D(E_F) (states/eV per cell) = 33.66
- energy relative to the elements (meV per atom) = 272

a b c (Å): 4.826 4.826 34.023
angles (deg): 90.00 90.00 90.00
Space group I4/mmm (No. 139)
Unique sites:
Tb: 0.000 0.000 0.045
Pm: 0.000 0.000 0.303
Pm: 0.000 0.000 0.500
Nd: 0.000 0.000 0.202
Nd: 0.000 0.500 0.120


# 9
MgBeSi2: relaxed, PBE.

- D(E_F) (states/eV per cell) = 1.46
- E_form (uncorrected) (eV per atom) = 0.16

a b c (Å): 5.297 5.658 5.673
angles (deg): 118.21 92.18 116.46
Space group P1 (No. 1)
Unique sites:
Mg: 0.000 0.000 0.000
Mg: 0.288 0.727 0.259
Be: 0.465 0.385 0.762
Be: 0.683 0.140 0.768
Si: 0.350 0.736 0.788
Si: 0.649 0.446 0.183
Si: 0.819 0.396 0.537
Si: 0.982 0.047 0.504


# 10
Sb2MoRu: relaxed, PBE.

- D(E_F) (states/eV per cell) = 8.13
- E_form (uncorrected) (eV per atom) = 0.28

a b c (Å): 8.508 3.178 5.627
angles (deg): 90.00 103.16 90.00
Space group C2/m (No. 12)
Unique sites:
Sb: 0.248 0.000 0.248
Mo: 0.000 0.000 0.500
Ru: 0.000 0.500 0.000


# 11
OsC2: relaxed, PBE.

- D(E_F) (states/eV per cell) = 3.86
- energy relative to the elements (meV per atom) = 1234

a b c (Å): 2.839 3.706 10.553
angles (deg): 90.00 90.00 90.00
Space group Immm (No. 71)
Unique sites:
Os: 0.000 0.000 0.127
C: 0.000 0.189 0.500
C: 0.000 0.500 0.226


# 12
BeSi2TcBr: relaxed, PBE.

- D(E_F) (states/eV per cell) = 1.03
- E_form (uncorrected) (eV per atom) = 0.90

a b c (Å): 4.582 4.582 5.474
angles (deg): 90.00 90.00 90.00
Space group P4/mmm (No. 123)
Unique sites:
Be: 0.000 0.000 0.000
Si: 0.000 0.500 0.500
Tc: 0.500 0.500 0.500
Br: 0.500 0.500 0.000